Compound: KTiSe4
Source: the Alexandria database
Functional: PBE
Structure: optimized geometry

The total DFT energy (no corrections) is -110.41 eV for the cell shown. As for the volume: 666.6 Å³ per cell. For the raw formation energy, the calculation gives -0.779 eV/atom.

a = 7.891 Å, b = 13.977 Å, c = 6.529 Å
α = 90.00°, β = 112.20°, γ = 90.00°
Space group C2/c (No. 15)
Inequivalent atoms, fractional coordinates:
K1 0.000 0.140 0.250 x4
Ti1 0.000 0.500 0.250 x4
Se1 0.054 0.356 0.524 x8
Se2 0.241 0.081 0.878 x8